(1)
Below is crystalline NaLi3I at its relaxed geometry, with properties calculated at the GGA-PBE level.

Calculated values
Offset from the most stable computed form (eV/f.u.): 0.000

Cell: 5.459 5.459 5.459 Å, 90.00 90.00 90.00°
Space group Pm-3m (No. 221)
One atom of each set of equivalent atoms:
Na (0.000, 0.000, 0.000) [1 per cell]
Li (0.000, 0.500, 0.500) [3 per cell]
I (0.500, 0.500, 0.500) [1 per cell]

***

(2)
Below is crystalline Cr2In4Cl at its relaxed geometry, with properties calculated at the GGA-PBE level.

Cell: 5.419 5.419 14.112 Å, 90.00 90.00 90.00°
Space group I4/mmm (No. 139)
One atom of each set of equivalent atoms:
Cr (0.000, 0.000, 0.097) [4 per cell]
In (0.000, 0.000, 0.295) [4 per cell]
In (0.000, 0.500, 0.000) [4 per cell]
Cl (0.000, 0.000, 0.500) [2 per cell]

***

(3)
Below is crystalline Pm4ErSn at its relaxed geometry, with properties calculated at the GGA-PBE level.

Calculated values
Energy relative to the elements (eV per atom): 0.0468

Cell: 5.039 25.900 6.309 Å, 90.00 90.00 90.00°
Space group Cmc2_1 (No. 36)
One atom of each set of equivalent atoms:
Pm (0.000, 0.026, 0.000) [4 per cell]
Pm (0.000, 0.179, 0.984) [4 per cell]
Pm (0.000, 0.228, 0.465) [4 per cell]
Pm (0.000, 0.389, 0.695) [4 per cell]
Er (0.000, 0.100, 0.562) [4 per cell]
Sn (0.000, 0.336, 0.180) [4 per cell]

***

(4)
Below is crystalline ScBiIr3 at its relaxed geometry, with properties calculated at the GGA-PBE level.

Calculated values
Offset from the most stable computed form (eV/f.u.): 0.000
Energy relative to the elements (eV per atom): 1.1478

Cell: 4.769 4.769 4.769 Å, 90.00 90.00 90.00°
Space group Pm-3m (No. 221)
One atom of each set of equivalent atoms:
Sc (0.000, 0.000, 0.000) [1 per cell]
Bi (0.500, 0.500, 0.500) [1 per cell]
Ir (0.000, 0.000, 0.500) [3 per cell]

***

(5)
Below is crystalline AlReN2 at its relaxed geometry, with properties calculated at the GGA-PBE level.

Cell: 2.9574 2.9574 17.6253 Å, 90.00 90.00 120.00°
Space group R-3m (No. 166, hexagonal axes)
One atom of each set of equivalent atoms:
Al (0.0000, 0.0000, 0.0000) [3 per cell]
Re (0.0000, 0.0000, 0.5000) [3 per cell]
N (0.0000, 0.0000, 0.3934) [6 per cell]

***

(6)
Below is crystalline MoHIrW2 at its relaxed geometry, with properties calculated at the GGA-PBE level.

Calculated values
Offset from the most stable computed form (eV/f.u.): 0.227

Cell: 4.043 4.043 3.954 Å, 90.00 90.00 90.00°
Space group P4/mmm (No. 123)
One atom of each set of equivalent atoms:
Mo (0.000, 0.000, 0.000) [1 per cell]
H (0.500, 0.500, 0.500) [1 per cell]
Ir (0.500, 0.500, 0.000) [1 per cell]
W (0.000, 0.500, 0.500) [2 per cell]

***

(7)
Below is crystalline Pa3TlC at its relaxed geometry, with properties calculated at the GGA-PBE level.

Calculated values
Energy relative to the elements (eV per atom): -0.1357

Cell: 4.828 4.828 4.828 Å, 90.00 90.00 90.00°
Space group Pm-3m (No. 221)
One atom of each set of equivalent atoms:
Pa (0.000, 0.000, 0.500) [3 per cell]
Tl (0.500, 0.500, 0.500) [1 per cell]
C (0.000, 0.000, 0.000) [1 per cell]

***

(8)
Below is crystalline NdScRh at its relaxed geometry, with properties calculated at the GGA-PBE level.

Calculated values
Offset from the most stable computed form (eV/f.u.): 0.358
Energy relative to the elements (eV per atom): -0.4967

Cell: 3.374 3.374 12.303 Å, 90.00 90.00 90.00°
Space group I4mm (No. 107)
One atom of each set of equivalent atoms:
Nd (0.000, 0.000, 0.000) [2 per cell]
Sc (0.000, 0.000, 0.270) [2 per cell]
Rh (0.000, 0.000, 0.663) [2 per cell]

***

(9)
Below is crystalline AsPPt3 at its relaxed geometry, with properties calculated at the GGA-PBE level.

Calculated values
Offset from the most stable computed form (eV/f.u.): 0.000
Energy relative to the elements (eV per atom): 0.2711

Cell: 4.532 4.532 4.532 Å, 90.00 90.00 90.00°
Space group Pm-3m (No. 221)
One atom of each set of equivalent atoms:
As (0.000, 0.000, 0.000) [1 per cell]
P (0.500, 0.500, 0.500) [1 per cell]
Pt (0.000, 0.500, 0.500) [3 per cell]

***

(10)
Below is crystalline Ba2CoSi at its relaxed geometry, with properties calculated at the GGA-PBE level.

Cell: 12.390 3.962 5.280 Å, 90.00 115.22 90.00°
Space group Cm (No. 8)
One atom of each set of equivalent atoms:
Ba (0.000, 0.000, 0.000) [2 per cell]
Ba (0.202, 0.000, 0.702) [2 per cell]
Co (0.316, 0.500, 0.317) [2 per cell]
Si (0.406, 0.000, 0.406) [2 per cell]

***

(11)
Below is crystalline Er3SbS6 at its relaxed geometry, with properties calculated at the GGA-PBE level.

Calculated values
Offset from the most stable computed form (eV/f.u.): 0.269

Cell: 10.517 13.275 6.761 Å, 90.00 90.00 90.00°
Space group Cmc2_1 (No. 36)
One atom of each set of equivalent atoms:
Er (0.000, 0.095, 0.000) [4 per cell]
Er (0.186, 0.399, 0.092) [8 per cell]
Sb (0.000, 0.321, 0.611) [4 per cell]
S (0.000, 0.269, 0.228) [4 per cell]
S (0.000, 0.489, 0.863) [4 per cell]
S (0.166, 0.030, 0.292) [8 per cell]
S (0.168, 0.232, 0.812) [8 per cell]

***

(12)
Below is crystalline Ta3ReOs at its relaxed geometry, with properties calculated at the GGA-PBE level.

Calculated values
Offset from the most stable computed form (eV/f.u.): 0.000
Energy relative to the elements (eV per atom): 1.6081

Cell: 4.761 4.761 4.761 Å, 90.00 90.00 90.00°
Space group Pm-3m (No. 221)
One atom of each set of equivalent atoms:
Ta (0.000, 0.000, 0.500) [3 per cell]
Re (0.500, 0.500, 0.500) [1 per cell]
Os (0.000, 0.000, 0.000) [1 per cell]

***

(13)
Below is crystalline LiNbTcN3 at its relaxed geometry, with properties calculated at the GGA-PBE level.

Cell: 6.076 3.096 8.809 Å, 90.00 105.99 90.00°
Space group P2_1/m (No. 11)
One atom of each set of equivalent atoms:
Li (0.162, 0.250, 0.109) [2 per cell]
Nb (0.337, 0.750, 0.860) [2 per cell]
Tc (0.003, 0.250, 0.616) [2 per cell]
N (0.081, 0.250, 0.852) [2 per cell]
N (0.217, 0.750, 0.606) [2 per cell]
N (0.427, 0.750, 0.113) [2 per cell]

***

(14)
Below is crystalline Dy2YS4 at its relaxed geometry, with properties calculated at the GGA-PBE level.

Calculated values
Offset from the most stable computed form (eV/f.u.): 0.159

Cell: 3.806 12.932 13.128 Å, 90.00 90.00 90.00°
Space group Cmcm (No. 63)
One atom of each set of equivalent atoms:
Dy (0.000, 0.130, 0.070) [8 per cell]
Y (0.000, 0.373, 0.250) [4 per cell]
S (0.000, 0.027, 0.250) [4 per cell]
S (0.000, 0.224, 0.622) [8 per cell]
S (0.000, 0.500, 0.000) [4 per cell]

***

(15)
Below is crystalline Er4Cu2HgRu at its relaxed geometry, with properties calculated at the GGA-PBE level.

Calculated values
Energy relative to the elements (eV per atom): -0.3797

Cell: 4.9449 4.9449 24.1108 Å, 90.00 90.00 120.00°
Space group R-3m (No. 166, hexagonal axes)
One atom of each set of equivalent atoms:
Er (0.0000, 0.0000, 0.1175) [6 per cell]
Er (0.0000, 0.0000, 0.3690) [6 per cell]
Cu (0.0000, 0.0000, 0.2479) [6 per cell]
Hg (0.0000, 0.0000, 0.5000) [3 per cell]
Ru (0.0000, 0.0000, 0.0000) [3 per cell]

***

(16)
Below is crystalline PmSc5P6 at its relaxed geometry, with properties calculated at the GGA-PBE level.

Calculated values
Energy relative to the elements (eV per atom): -1.4703

Cell: 6.628 11.480 6.628 Å, 90.00 109.57 90.00°
Space group C2/m (No. 12)
One atom of each set of equivalent atoms:
Pm (0.000, 0.000, 0.000) [2 per cell]
Sc (0.000, 0.164, 0.500) [4 per cell]
Sc (0.000, 0.333, 0.000) [4 per cell]
Sc (0.000, 0.500, 0.500) [2 per cell]
P (0.239, 0.500, 0.257) [4 per cell]
P (0.241, 0.327, 0.741) [8 per cell]

***

(17)
Below is crystalline LaBe2Zn at its relaxed geometry, with properties calculated at the GGA-PBE level.

Calculated values
Offset from the most stable computed form (eV/f.u.): 0.000
Energy relative to the elements (eV per atom): -0.0581

Cell: 3.9238 3.9238 15.8692 Å, 90.00 90.00 120.00°
Space group R-3m (No. 166, hexagonal axes)
One atom of each set of equivalent atoms:
La (0.0000, 0.0000, 0.0000) [3 per cell]
Be (0.0000, 0.0000, 0.1899) [6 per cell]
Zn (0.0000, 0.0000, 0.5000) [3 per cell]

***

(18)
Below is crystalline Pm4Nd2ErTm2 at its relaxed geometry, with properties calculated at the GGA-PBE level.

Calculated values
Energy relative to the elements (eV per atom): 0.0233

Cell: 15.339 5.110 8.032 Å, 90.00 108.60 90.00°
Space group C2/m (No. 12)
One atom of each set of equivalent atoms:
Pm (0.055, 0.000, 0.330) [4 per cell]
Pm (0.221, 0.500, 0.330) [4 per cell]
Nd (0.112, 0.500, 0.670) [4 per cell]
Er (0.000, 0.500, 0.000) [2 per cell]
Tm (0.167, 0.000, 0.000) [4 per cell]

***

(19)
Below is crystalline LiTaP at its relaxed geometry, with properties calculated at the GGA-PBE level.

Calculated values
Offset from the most stable computed form (eV/f.u.): 0.922
Energy relative to the elements (eV per atom): -0.2667

Cell: 3.7367 3.7367 3.2452 Å, 90.00 90.00 120.00°
Space group P-6m2 (No. 187)
One atom of each set of equivalent atoms:
Li (0.0000, 0.0000, 0.0000) [1 per cell]
Ta (0.6667, 0.3333, 0.5000) [1 per cell]
P (0.3333, 0.6667, 0.0000) [1 per cell]

***

(20)
Below is crystalline CsTl2SbPb at its relaxed geometry, with properties calculated at the GGA-PBE level.

Cell: 4.612 5.694 14.769 Å, 90.00 90.00 90.00°
Space group Imm2 (No. 44)
One atom of each set of equivalent atoms:
Cs (0.000, 0.000, 0.000) [2 per cell]
Tl (0.000, 0.000, 0.620) [2 per cell]
Tl (0.000, 0.500, 0.277) [2 per cell]
Sb (0.000, 0.000, 0.385) [2 per cell]
Pb (0.000, 0.500, 0.747) [2 per cell]

***

(21)
Below is crystalline AcGdTm at its relaxed geometry, with properties calculated at the GGA-PBE level.

Calculated values
Offset from the most stable computed form (eV/f.u.): 0.000
Energy relative to the elements (eV per atom): 0.0626

Cell: 3.748 3.748 15.246 Å, 90.00 90.00 90.00°
Space group I4mm (No. 107)
One atom of each set of equivalent atoms:
Ac (0.000, 0.000, 0.000) [2 per cell]
Gd (0.000, 0.000, 0.324) [2 per cell]
Tm (0.000, 0.000, 0.670) [2 per cell]

***

(22)
Below is crystalline CaCeDy2Bi4 at its relaxed geometry, with properties calculated at the GGA-PBE level.

Calculated values
Energy relative to the elements (eV per atom): -0.8114

Cell: 7.820 4.538 7.883 Å, 90.00 109.20 90.00°
Space group P2/m (No. 10)
One atom of each set of equivalent atoms:
Ca (0.000, 0.000, 0.000) [1 per cell]
Ce (0.500, 0.500, 0.000) [1 per cell]
Dy (0.000, 0.500, 0.500) [1 per cell]
Dy (0.500, 0.000, 0.500) [1 per cell]
Bi (0.250, 0.000, 0.745) [2 per cell]
Bi (0.255, 0.500, 0.256) [2 per cell]

***

(23)
Below is crystalline NiICl6 at its relaxed geometry, with properties calculated at the GGA-PBE level.

Cell: 7.268 11.308 7.070 Å, 90.00 119.99 90.00°
Space group C2/m (No. 12)
One atom of each set of equivalent atoms:
Ni (0.000, 0.000, 0.000) [2 per cell]
I (0.000, 0.000, 0.500) [2 per cell]
Cl (0.071, 0.148, 0.800) [8 per cell]
Cl (0.161, 0.500, 0.748) [4 per cell]

***

(24)
Below is crystalline Np2InGa9 at its relaxed geometry, with properties calculated at the GGA-PBE level.

Calculated values
Energy relative to the elements (eV per atom): -0.0764

Cell: 4.269 4.269 13.054 Å, 90.00 90.00 90.00°
Space group P4/mmm (No. 123)
One atom of each set of equivalent atoms:
Np (0.000, 0.000, 0.166) [2 per cell]
In (0.000, 0.000, 0.500) [1 per cell]
Ga (0.000, 0.500, 0.000) [2 per cell]
Ga (0.000, 0.500, 0.330) [4 per cell]
Ga (0.500, 0.500, 0.157) [2 per cell]
Ga (0.500, 0.500, 0.500) [1 per cell]

***

(25)
Below is crystalline CaTb2CuO5 at its relaxed geometry, with properties calculated at the GGA-PBE level.

Cell: 6.438 6.438 5.679 Å, 90.00 90.00 90.00°
Space group P4/mbm (No. 127)
One atom of each set of equivalent atoms:
Ca (0.000, 0.000, 0.000) [2 per cell]
Tb (0.172, 0.328, 0.500) [4 per cell]
Cu (0.000, 0.500, 0.000) [2 per cell]
O (0.000, 0.000, 0.500) [2 per cell]
O (0.146, 0.646, 0.242) [8 per cell]

***

| no. | total DFT energy (no corrections) (eV/atom) |
| --- | --- |
| 1 | -1.915 |
| 2 | -4.004 |
| 3 | -4.548 |
| 4 | -6.211 |
| 5 | -8.381 |
| 6 | -9.722 |
| 7 | -8.151 |
| 8 | -6.647 |
| 9 | -5.365 |
| 10 | -4.130 |
| 11 | -5.813 |
| 12 | -10.239 |
| 13 | -8.285 |
| 14 | -6.648 |
| 15 | -4.882 |
| 16 | -7.209 |
| 17 | -3.472 |
| 18 | -4.648 |
| 19 | -6.659 |
| 20 | -2.827 |
| 21 | -7.491 |
| 22 | -4.894 |
| 23 | -2.526 |
| 24 | -4.732 |
| 25 | -7.089 |